1.
The following is a PBE calculation of an optimized crystal structure of CaTbPa2N4, from Alexandria.

Summary:
space-group type = I-4m2, No. 119
E_tot = -71.11 eV for the cell shown
uncorrected formation energy = -1.52 eV per atom
total magnetization = 0.00 μB per atom

abc: 4.9383 4.9383 6.0698
angles: 114.00 114.00 90.00
Atoms (fractional coordinates):
Ca 0.5000 0.5000 0.0000
Tb 0.7500 0.2500 0.5000
Pa 0.2500 0.7500 0.5000
Pa 0.0000 0.0000 0.0000
N 0.0117 0.5117 0.0235
N 0.4883 0.9883 0.9765
N 0.7639 0.7639 0.5278
N 0.2361 0.2361 0.4722


2.
The following is a PBE calculation of an optimized crystal structure of CaTb3Pa2N6, from Alexandria.

Summary:
space-group type = C2/m, No. 12
E_tot = -103.96 eV for the cell shown
uncorrected formation energy = -1.59 eV per atom
total magnetization = 0.00 μB per atom

abc: 3.5153 7.0121 7.7921
angles: 103.16 103.04 90.00
Atoms (fractional coordinates):
Ca 0.5000 0.0000 0.0000
Tb 0.5000 0.5000 0.0000
Tb 0.8351 0.1659 0.6701
Tb 0.1649 0.8341 0.3299
Pa 0.8358 0.6710 0.6716
Pa 0.1642 0.3290 0.3284
N 0.3314 0.9019 0.6629
N 0.6675 0.5767 0.3350
N 0.6686 0.0981 0.3371
N 0.0114 0.2641 0.0228
N 0.9886 0.7359 0.9772
N 0.3325 0.4233 0.6650


3.
The following is a PBE calculation of an optimized crystal structure of Ca2TbPaN4, from Alexandria.

Summary:
space-group type = P2/m, No. 10
E_tot = -63.41 eV for the cell shown
uncorrected formation energy = -1.50 eV per atom
total magnetization = 0.00 μB per atom

abc: 3.5604 6.0793 6.0680
angles: 109.23 90.00 90.00
Atoms (fractional coordinates):
Ca 0.5000 0.0000 0.5000
Ca 0.0000 0.5000 0.5000
Tb 0.5000 0.5000 0.0000
Pa 0.0000 0.0000 0.0000
N 0.5000 0.2287 0.2188
N 0.5000 0.7713 0.7812
N 0.0000 0.2418 0.7812
N 0.0000 0.7582 0.2188


4.
The following is a PBE calculation of an optimized crystal structure of CaPa2TcN4, from Alexandria.

Summary:
space-group type = I-42m, No. 121
E_tot = -70.64 eV for the cell shown
uncorrected formation energy = -0.75 eV per atom
total magnetization = 0.08 μB per atom

abc: 5.5741 5.5741 5.5741
angles: 97.26 115.90 115.90
Atoms (fractional coordinates):
Ca 0.0000 0.0000 0.0000
Pa 0.5000 0.7500 0.2500
Pa 0.5000 0.2500 0.7500
Tc 0.0000 0.5000 0.5000
N 0.0000 0.1304 0.4626
N 0.6677 0.5374 0.5374
N 0.3323 0.8696 0.8696
N 0.0000 0.4626 0.1304


5.
The following is a PBE calculation of an optimized crystal structure of Ca4Pa3TcN8, from Alexandria.

Summary:
space-group type = R-3m, No. 166
E_tot = -133.56 eV for the cell shown
uncorrected formation energy = -1.26 eV per atom
total magnetization = 0.00 μB per atom

abc: 6.8839 6.9543 6.8840
angles: 119.67 120.00 90.00
Atoms (fractional coordinates):
Ca 0.5000 0.0000 0.0000
Ca 0.5000 0.0000 0.5000
Ca 0.0000 0.0000 0.0000
Ca 0.0000 0.0000 0.5000
Pa 0.5000 0.5000 0.0000
Pa 0.5000 0.5000 0.5000
Pa 0.0000 0.5000 0.5000
Tc 0.0000 0.5000 0.0000
N 0.2451 0.7196 0.9745
N 0.2451 0.7196 0.4903
N 0.2596 0.2787 0.5192
N 0.7294 0.7196 0.9745
N 0.2706 0.2804 0.0255
N 0.7404 0.7213 0.4808
N 0.7549 0.2804 0.5097
N 0.7549 0.2804 0.0255


6.
The following is a PBE calculation of an optimized crystal structure of Ca2PaTcN4, from Alexandria.

Summary:
space-group type = P2/m, No. 10
E_tot = -65.10 eV for the cell shown
uncorrected formation energy = -0.99 eV per atom
total magnetization = 0.25 μB per atom

abc: 3.4412 5.6503 5.9186
angles: 108.85 90.00 90.00
Atoms (fractional coordinates):
Ca 0.5000 0.0000 0.5000
Ca 0.0000 0.5000 0.5000
Pa 0.5000 0.5000 0.0000
Tc 0.0000 0.0000 0.0000
N 0.5000 0.2297 0.2127
N 0.5000 0.7703 0.7873
N 0.0000 0.2555 0.7804
N 0.0000 0.7445 0.2196